ScSnBiC2 | GGA-PBE | optimized geometry

Calculated values
Crystal system: tetragonal
E_form in meV per atom: 2118

Lattice parameters (Å, degrees): 4.5480 4.5480 5.6666 90.00 90.00 90.00
Closest atoms and distances in Å follow each position.
Space group P4/mmm (No. 123)
Inequivalent atoms, fractional coordinates:
Sc (0.0000, 0.0000, 0.0000)  2 Bi 2.83
Sn (0.5000, 0.5000, 0.0000)  4 Sc 3.22
Bi (0.0000, 0.0000, 0.5000)  4 C 2.27
C (0.0000, 0.5000, 0.5000)  2 Bi 2.27


ScTcBiC2 | GGA-PBE | optimized geometry

Calculated values
Crystal system: tetragonal
E_form in meV per atom: 1103

Lattice parameters (Å, degrees): 4.0921 4.0921 5.3743 90.00 90.00 90.00
Closest atoms and distances in Å follow each position.
Space group P4/mmm (No. 123)
Inequivalent atoms, fractional coordinates:
Sc (0.0000, 0.0000, 0.0000)  2 Tc 2.69, 4 Bi 2.89
Tc (0.0000, 0.0000, 0.5000)  4 C 2.05
Bi (0.5000, 0.5000, 0.0000)  4 Sc 2.89
C (0.0000, 0.5000, 0.5000)  2 Tc 2.05


Sc2TcBiC | GGA-PBE | optimized geometry

Calculated values
Crystal system: tetragonal
E_form in meV per atom: -386

Lattice parameters (Å, degrees): 4.6547 4.6547 4.0712 90.00 90.00 90.00
Closest atoms and distances in Å follow each position.
Space group P4/mmm (No. 123)
Inequivalent atoms, fractional coordinates:
Sc (0.0000, 0.5000, 0.0000)  2 C 2.33
Tc (0.0000, 0.0000, 0.5000)  2 C 2.04
Bi (0.5000, 0.5000, 0.5000)  8 Sc 3.09, 4 Tc 3.29
C (0.0000, 0.0000, 0.0000)  2 Tc 2.04


TmSc2BiC | GGA-PBE | optimized geometry

Calculated values
Crystal system: tetragonal
E_form in meV per atom: -607

Lattice parameters (Å, degrees): 4.5980 4.5980 4.8252 90.00 90.00 90.00
Closest atoms and distances in Å follow each position.
Space group P4/mmm (No. 123)
Inequivalent atoms, fractional coordinates:
Tm (0.0000, 0.0000, 0.0000)  2 C 2.41
Sc (0.0000, 0.5000, 0.5000)  2 C 2.30
Bi (0.5000, 0.5000, 0.0000)  4 Tm 3.25, 8 Sc 3.33
C (0.0000, 0.0000, 0.5000)  4 Sc 2.30, 2 Tm 2.41


Tm2ScBiC | GGA-PBE | optimized geometry

Calculated values
Crystal system: tetragonal
E_form in meV per atom: -571

Lattice parameters (Å, degrees): 4.8509 4.8509 4.5927 90.00 90.00 90.00
Closest atoms and distances in Å follow each position.
Space group P4/mmm (No. 123)
Inequivalent atoms, fractional coordinates:
Tm (0.0000, 0.5000, 0.0000)  2 C 2.43
Sc (0.0000, 0.0000, 0.5000)  2 C 2.30
Bi (0.5000, 0.5000, 0.5000)  8 Tm 3.34, 4 Sc 3.43
C (0.0000, 0.0000, 0.0000)  2 Sc 2.30, 4 Tm 2.43


Sc2VBiC | GGA-PBE | optimized geometry

Calculated values
Crystal system: tetragonal
E_form in meV per atom: -412

Lattice parameters (Å, degrees): 4.6254 4.6254 4.1222 90.00 90.00 90.00
Closest atoms and distances in Å follow each position.
Space group P4/mmm (No. 123)
Inequivalent atoms, fractional coordinates:
Sc (0.0000, 0.5000, 0.0000)  2 C 2.31
V (0.0000, 0.0000, 0.5000)  2 C 2.06
Bi (0.5000, 0.5000, 0.5000)  8 Sc 3.10, 4 V 3.27
C (0.0000, 0.0000, 0.0000)  2 V 2.06


Y2ScBiC | GGA-PBE | optimized geometry

Calculated values
Crystal system: tetragonal
E_form in meV per atom: -584

Lattice parameters (Å, degrees): 4.9451 4.9451 4.5963 90.00 90.00 90.00
Closest atoms and distances in Å follow each position.
Space group P4/mmm (No. 123)
Inequivalent atoms, fractional coordinates:
Y (0.0000, 0.5000, 0.0000)  2 C 2.47
Sc (0.0000, 0.0000, 0.5000)  2 C 2.30
Bi (0.5000, 0.5000, 0.5000)  8 Y 3.38, 4 Sc 3.50
C (0.0000, 0.0000, 0.0000)  2 Sc 2.30, 4 Y 2.47


Y2Sc2Bi2C | GGA-PBE | optimized geometry

Calculated values
Crystal system: tetragonal
E_form in meV per atom: -765

Lattice parameters (Å, degrees): 4.5697 4.5697 15.9920 90.00 90.00 90.00
Closest atoms and distances in Å follow each position.
Space group I4/mmm (No. 139)
Inequivalent atoms, fractional coordinates:
Y (0.0000, 0.0000, 0.1568)  1 C 2.51
Sc (0.0000, 0.5000, 0.0000)  2 C 2.28
Bi (0.0000, 0.0000, 0.3599)  4 Sc 3.20, 5 Y 3.24-3.25
C (0.0000, 0.0000, 0.0000)  4 Sc 2.28, 2 Y 2.51


YSc2BiC | GGA-PBE | optimized geometry

Calculated values
Crystal system: tetragonal
E_form in meV per atom: -608

Lattice parameters (Å, degrees): 4.6049 4.6049 4.9199 90.00 90.00 90.00
Closest atoms and distances in Å follow each position.
Space group P4/mmm (No. 123)
Inequivalent atoms, fractional coordinates:
Y (0.0000, 0.0000, 0.0000)  2 C 2.46
Sc (0.0000, 0.5000, 0.5000)  2 C 2.30
Bi (0.5000, 0.5000, 0.0000)  4 Y 3.26, 8 Sc 3.37
C (0.0000, 0.0000, 0.5000)  4 Sc 2.30, 2 Y 2.46


Sc2ZnBiC | GGA-PBE | optimized geometry

Calculated values
Crystal system: tetragonal
E_form in meV per atom: -378

Lattice parameters (Å, degrees): 4.6711 4.6711 4.1362 90.00 90.00 90.00
Closest atoms and distances in Å follow each position.
Space group P4/mmm (No. 123)
Inequivalent atoms, fractional coordinates:
Sc (0.0000, 0.5000, 0.0000)  2 C 2.34
Zn (0.0000, 0.0000, 0.5000)  2 C 2.07
Bi (0.5000, 0.5000, 0.5000)  8 Sc 3.12, 4 Zn 3.30
C (0.0000, 0.0000, 0.0000)  2 Zn 2.07


ZrSc2BiC | GGA-PBE | optimized geometry

Calculated values
Crystal system: tetragonal
E_form in meV per atom: -539

Lattice parameters (Å, degrees): 4.5851 4.5851 4.6092 90.00 90.00 90.00
Closest atoms and distances in Å follow each position.
Space group P4/mmm (No. 123)
Inequivalent atoms, fractional coordinates:
Zr (0.0000, 0.0000, 0.0000)  2 C 2.30
Sc (0.0000, 0.5000, 0.5000)  2 C 2.29
Bi (0.5000, 0.5000, 0.0000)  4 Zr 3.24, 8 Sc 3.25
C (0.0000, 0.0000, 0.5000)  4 Sc 2.29, 2 Zr 2.30


Zr2ScBiC | GGA-PBE | optimized geometry

Calculated values
Crystal system: tetragonal
E_form in meV per atom: -435

Lattice parameters (Å, degrees): 4.6184 4.6184 4.5945 90.00 90.00 90.00
Closest atoms and distances in Å follow each position.
Space group P4/mmm (No. 123)
Inequivalent atoms, fractional coordinates:
Zr (0.0000, 0.5000, 0.0000)  2 C 2.31
Sc (0.0000, 0.0000, 0.5000)  2 C 2.30
Bi (0.5000, 0.5000, 0.5000)  8 Zr 3.26, 4 Sc 3.27
C (0.0000, 0.0000, 0.0000)  2 Sc 2.30, 4 Zr 2.31


Zr2Sc2Bi2C | GGA-PBE | optimized geometry

Calculated values
Crystal system: tetragonal
E_form in meV per atom: -580

Lattice parameters (Å, degrees): 4.5353 4.5353 15.3586 90.00 90.00 90.00
Closest atoms and distances in Å follow each position.
Space group I4/mmm (No. 139)
Inequivalent atoms, fractional coordinates:
Zr (0.0000, 0.5000, 0.0000)  2 C 2.27
Sc (0.0000, 0.0000, 0.1489)  1 C 2.29
Bi (0.0000, 0.0000, 0.3511)  5 Sc 3.11-3.21, 4 Zr 3.22
C (0.0000, 0.0000, 0.0000)  4 Zr 2.27, 2 Sc 2.29


BiCSe2 | GGA-PBE | optimized geometry

Calculated values
Formation energy from raw total energies in eV/f.u.: 4.377
Crystal system: trigonal

Lattice parameters (Å, degrees): 3.3495 3.3495 25.9299 90.00 90.00 120.00
Closest atoms and distances in Å follow each position.
Space group R-3m (No. 166, hexagonal axes)
Inequivalent atoms, fractional coordinates:
Bi (0.0000, 0.0000, 0.0000)  2 Se 2.97
C (0.0000, 0.0000, 0.5000)  6 Se 2.36
Se (0.0000, 0.0000, 0.1145)  3 C 2.36


BiC3Se | GGA-PBE | optimized geometry

Calculated values
Formation energy from raw total energies in eV/f.u.: 13.121
Crystal system: cubic

Lattice parameters (Å, degrees): 4.0539 4.0539 4.0539 90.00 90.00 90.00
Closest atoms and distances in Å follow each position.
Space group Pm-3m (No. 221)
Inequivalent atoms, fractional coordinates:
Bi (0.0000, 0.0000, 0.0000)  12 C 2.87
C (0.0000, 0.5000, 0.5000)  2 Se 2.03
Se (0.5000, 0.5000, 0.5000)  6 C 2.03


BiCSe2 | GGA-PBE | optimized geometry

Calculated values
Formation energy from raw total energies in eV/f.u.: 3.185
Crystal system: trigonal

Lattice parameters (Å, degrees): 3.8497 3.8497 24.9812 90.00 90.00 120.00
Closest atoms and distances in Å follow each position.
Space group R-3m (No. 166, hexagonal axes)
Inequivalent atoms, fractional coordinates:
Bi (0.0000, 0.0000, 0.0000)  6 Se 3.29
C (0.0000, 0.0000, 0.5000)  2 Se 1.74
Se (0.0000, 0.0000, 0.4303)  1 C 1.74


Bi3CSe | GGA-PBE | optimized geometry

Calculated values
Formation energy from raw total energies in eV/f.u.: 4.713
Crystal system: cubic

Lattice parameters (Å, degrees): 5.0286 5.0286 5.0286 90.00 90.00 90.00
Closest atoms and distances in Å follow each position.
Space group Pm-3m (No. 221)
Inequivalent atoms, fractional coordinates:
Bi (0.0000, 0.0000, 0.5000)  2 C 2.51
C (0.0000, 0.0000, 0.0000)  6 Bi 2.51
Se (0.5000, 0.5000, 0.5000)  12 Bi 3.56


BiCSe2 | GGA-PBE | optimized geometry

Calculated values
Formation energy from raw total energies in eV/f.u.: 5.954
Crystal system: cubic

Lattice parameters (Å, degrees): 6.9130 6.9130 6.9130 90.00 90.00 90.00
Closest atoms and distances in Å follow each position.
Space group Fm-3m (No. 225)
Inequivalent atoms, fractional coordinates:
Bi (0.0000, 0.0000, 0.0000)  8 Se 2.99
C (0.0000, 0.0000, 0.5000)  8 Se 2.99
Se (0.2500, 0.2500, 0.2500)  4 Bi 2.99, 4 C 2.99


BiCSe2 | GGA-PBE | optimized geometry

Calculated values
Formation energy from raw total energies in eV/f.u.: 3.836
Crystal system: tetragonal

Lattice parameters (Å, degrees): 6.2489 6.2489 9.7712 90.00 90.00 90.00
Closest atoms and distances in Å follow each position.
Space group I-42d (No. 122)
Inequivalent atoms, fractional coordinates:
Bi (0.0000, 0.0000, 0.0000)  4 Se 3.01
C (0.0000, 0.0000, 0.5000)  4 Se 2.16
Se (0.1367, 0.2500, 0.6250)  2 C 2.16


BiC3Se | GGA-PBE | optimized geometry

Calculated values
Formation energy from raw total energies in eV/f.u.: 16.910
Crystal system: cubic

Lattice parameters (Å, degrees): 4.5431 4.5431 4.5431 90.00 90.00 90.00
Closest atoms and distances in Å follow each position.
Space group Pm-3m (No. 221)
Inequivalent atoms, fractional coordinates:
Bi (0.0000, 0.0000, 0.0000)  6 C 2.27
C (0.0000, 0.0000, 0.5000)  2 Bi 2.27
Se (0.5000, 0.5000, 0.5000)  12 C 3.21


Electronic total energy in eV per atom, matching the order above: -4.41, -6.70, -7.61, -6.65, -6.25, -7.39, -7.06, -6.85, -7.05, -5.79, -7.40, -7.74, -7.26, -3.92, -4.38, -4.22, -3.93, -3.53, -4.06, -3.63